Record 1
Density functional theory data (PBE) for an optimized crystal structure of TbEr3Mg4.

```
8
Lattice="3.768 0.000 0.000 0.000 3.768 0.000 0.000 0.000 15.137" Properties=species:S:1:pos:R:3 pbc="T T T"
Tb 0.000 0.000 0.000
Er 0.000 0.000 3.799
Er 0.000 0.000 7.569
Er 0.000 0.000 11.338
Mg 1.884 1.884 1.921
Mg 1.884 1.884 5.683
Mg 1.884 1.884 9.454
Mg 1.884 1.884 13.216
```

Results
- E_form: -0.07 eV/atom
- Calculated total energy: -3.160 eV per atom
- Magnetic moment: 0.00 μB per cell

Record 2
Density functional theory data (PBE) for an optimized crystal structure of AgAsHPd2.

```
5
Lattice="4.102 0.000 0.000 0.000 4.102 0.000 0.000 0.000 4.088" Properties=species:S:1:pos:R:3 pbc="T T T"
Ag 0.000 0.000 0.000
As 2.051 2.051 0.000
H 0.000 0.000 2.044
Pd 0.000 2.051 2.044
Pd 2.051 0.000 2.044
```

Results
- Calculated total energy: -4.248 eV per atom
- Magnetic moment: 0.00 μB per cell

Record 3
Density functional theory data (PBE) for an optimized crystal structure of Na2Ga3SnAu12.

```
18
Lattice="2.866 1.655 13.360 -2.866 1.655 13.360 0.000 -3.309 13.360" Properties=species:S:1:pos:R:3 pbc="T T T"
Na 0.000 0.000 5.839
Na 0.000 0.000 34.242
Ga -1.433 -0.827 13.360
Ga -1.433 0.827 26.720
Ga 0.000 1.655 13.360
Sn 0.000 0.000 20.040
Au -1.454 -0.839 17.863
Au 0.000 -1.702 11.232
Au -1.474 0.851 11.232
Au -1.474 -0.851 28.848
Au 0.000 -1.679 22.217
Au -1.454 0.839 22.217
Au 1.454 -0.839 17.863
Au 0.000 1.679 17.863
Au 1.474 0.851 11.232
Au 1.474 -0.851 28.848
Au 0.000 1.702 28.848
Au 1.454 0.839 22.217
```

Results
- E_form: -0.10 eV/atom
- Calculated total energy: -3.157 eV per atom
- Magnetic moment: 0.00 μB per cell

Record 4
Density functional theory data (PBE) for an optimized crystal structure of AcTmSn.

```
3
Lattice="4.662 0.000 0.000 0.000 4.662 0.000 0.000 0.000 5.885" Properties=species:S:1:pos:R:3 pbc="T T T"
Ac 0.000 0.000 0.000
Tm 2.331 2.331 2.943
Sn 2.331 2.331 0.000
```

Results
- Energy above the most stable polymorph in this dataset: 565 meV per atom
- E_form: -0.03 eV/atom
- Calculated total energy: -4.227 eV per atom
- Magnetic moment: 0.00 μB per cell